Record 1
Computed, not measured: a relaxed structure of Tb7Hg2Au2 at the PBE level of DFT.

Unit cell a=6.849 b=7.362 c=6.849 alpha=90.00 beta=108.34 gamma=90.00
Positions (direct):
Tb1 0.500 0.731 0.000
Tb2 0.000 0.000 0.000
Tb3 0.000 0.731 0.500
Tb4 0.500 0.257 0.500
Tb5 0.000 0.269 0.500
Tb6 0.500 0.269 0.000
Tb7 0.500 0.743 0.500
Hg1 0.180 0.500 0.180
Hg2 0.820 0.500 0.820
Au1 0.294 0.000 0.706
Au2 0.706 0.000 0.294

**Space-group type**: No. 65
**Energy relative to the elements**: -287 meV per atom
**N(E_F)**: 1.0208 states/eV per atom

---

Record 2
Computed, not measured: a relaxed structure of ZnAgCl4 at the PBE level of DFT.

Unit cell a=7.025 b=6.114 c=6.114 alpha=109.27 beta=125.06 gamma=54.94
Positions (direct):
Cl1 0.143 0.131 0.529
Cl2 0.386 0.471 0.131
Cl3 0.726 0.529 0.869
Cl4 0.745 0.869 0.471
Zn1 0.750 0.500 0.500
Ag1 0.500 0.000 0.000

**Raw formation energy**: -0.697 eV/atom
**Space-group type**: No. 82
**N(E_F)**: 0.1818 states/eV per atom
**E above lowest polymorph**: 0.000 eV/atom

---

Record 3
Computed, not measured: a relaxed structure of SnB3O at the PBE level of DFT.

Unit cell a=4.480 b=4.480 c=4.480 alpha=90.00 beta=90.00 gamma=90.00
Positions (direct):
B1 0.000 0.500 0.000
B2 0.500 0.000 0.000
B3 0.000 0.000 0.500
Sn1 0.000 0.000 0.000
O1 0.500 0.500 0.500

**Raw formation energy**: 2.515 eV/atom
**Space-group type**: No. 221
**N(E_F)**: 0.7023 states/eV per atom
**E above lowest polymorph**: 0.906 eV/atom